[1]
Compound: Li2MgHg
Source: Alexandria via LeMat-Bulk
Functional: GGA-PBE
Structure: relaxed

Summary:
Total moment ... 0.00 μB per formula unit
Offset from the most stable computed form ... 0.017 eV/atom
DFT formation energy ... -0.26 eV/atom
DOS(E_F) ... 1.44 states/eV/f.u.
Total energy ... -27.0 eV/cell

Cell: 6.603 6.603 6.603 Å, 90.00 90.00 90.00°
Space group Fm-3m (No. 225)
One atom of each set of equivalent atoms:
Li 0.250 0.250 0.250 [8 per cell]
Mg 0.000 0.000 0.000 [4 per cell]
Hg 0.000 0.000 0.500 [4 per cell]

***

[2]
Compound: HgAsOs2
Source: Alexandria via LeMat-Bulk
Functional: GGA-PBE
Structure: relaxed

Summary:
Total moment ... 0.00 μB per formula unit
Offset from the most stable computed form ... 0.606 eV/atom
DFT formation energy ... 1.00 eV/atom
DOS(E_F) ... 3.81 states/eV/f.u.
Total energy ... -46.8 eV/cell

Cell: 5.818 8.983 2.937 Å, 90.00 119.42 90.00°
Space group C2/m (No. 12)
One atom of each set of equivalent atoms:
Hg 0.000 0.000 0.000 [2 per cell]
As 0.000 0.500 0.000 [2 per cell]
Os 0.250 0.250 0.500 [4 per cell]

***

[3]
Compound: PmAgSb2
Source: Alexandria via LeMat-Bulk
Functional: GGA-PBE
Structure: relaxed

Summary:
Total moment ... 0.00 μB per formula unit
Offset from the most stable computed form ... 0.000 eV/atom
E_form (uncorrected) ... -672 meV/atom
DOS(E_F) ... 1.60 states/eV/f.u.
Total energy ... -37.1 eV/cell

Cell: 4.399 4.399 10.582 Å, 90.00 90.00 90.00°
Space group P4/nmm (No. 129, origin choice 2)
One atom of each set of equivalent atoms:
Pm 0.250 0.250 0.237 [2 per cell]
Ag 0.250 0.750 0.500 [2 per cell]
Sb 0.250 0.250 0.679 [2 per cell]
Sb 0.250 0.750 0.000 [2 per cell]

***

[4]
Compound: CrFe2Ag
Source: Alexandria via LeMat-Bulk
Functional: GGA-PBE
Structure: relaxed

Summary:
Total moment ... 2.24 μB per formula unit
Offset from the most stable computed form ... 0.013 eV/atom
DFT formation energy ... 0.33 eV/atom
DOS(E_F) ... 2.99 states/eV/f.u.
Total energy ... -28.1 eV/cell

Cell: 2.945 2.945 6.346 Å, 90.00 90.00 90.00°
Space group P4mm (No. 99)
One atom of each set of equivalent atoms:
Cr 0.000 0.000 0.000 [1 per cell]
Fe 0.000 0.000 0.417 [1 per cell]
Fe 0.500 0.500 0.202 [1 per cell]
Ag 0.500 0.500 0.698 [1 per cell]

***

[5]
Compound: Nb2Te5Pt
Source: Alexandria via LeMat-Bulk
Functional: GGA-PBE
Structure: relaxed

Summary:
Total moment ... 0.00 μB per formula unit
E_form (uncorrected) ... -172 meV/atom
DOS(E_F) ... 6.28 states/eV/f.u.
Total energy ... -173.1 eV/cell

Cell: 5.456 12.669 13.793 Å, 90.00 90.00 90.00°
Space group Cmcm (No. 63)
One atom of each set of equivalent atoms:
Nb 0.000 0.177 0.050 [8 per cell]
Te 0.000 0.044 0.605 [8 per cell]
Te 0.000 0.266 0.250 [4 per cell]
Te 0.000 0.326 0.599 [8 per cell]
Pt 0.000 0.184 0.750 [4 per cell]

***

[6]
Compound: KRb2I2
Source: Alexandria via LeMat-Bulk
Functional: GGA-PBE
Structure: relaxed

Summary:
Total moment ... 0.00 μB per formula unit
Offset from the most stable computed form ... 0.106 eV/atom
E_form (uncorrected) ... -993 meV/atom
DOS(E_F) ... 2.98 states/eV/f.u.
Total energy ... -22.2 eV/cell

Cell: 6.792 6.792 14.736 Å, 90.00 90.00 90.00°
Space group I4/mmm (No. 139)
One atom of each set of equivalent atoms:
K 0.000 0.000 0.000 [2 per cell]
Rb 0.000 0.000 0.330 [4 per cell]
I 0.000 0.500 0.250 [4 per cell]

***

[7]
Compound: Ba2MgTe
Source: Alexandria via LeMat-Bulk
Functional: GGA-PBE
Structure: relaxed

Summary:
Total moment ... 1.09 μB per formula unit
Offset from the most stable computed form ... 0.048 eV/atom
E_form (uncorrected) ... -738 meV/atom
DOS(E_F) ... 3.22 states/eV/f.u.
Total energy ... -34.6 eV/cell

Cell: 4.8476 4.8476 28.0883 Å, 90.00 90.00 120.00°
Space group R-3m (No. 166, hexagonal axes)
One atom of each set of equivalent atoms:
Ba 0.0000 0.0000 0.2404 [6 per cell]
Mg 0.0000 0.0000 0.0000 [3 per cell]
Te 0.0000 0.0000 0.5000 [3 per cell]

***

[8]
Compound: ZrTlGe3
Source: Alexandria via LeMat-Bulk
Functional: GGA-PBE
Structure: relaxed

Summary:
Total moment ... 0.00 μB per formula unit
Offset from the most stable computed form ... 0.000 eV/atom
DFT formation energy ... 0.26 eV/atom
DOS(E_F) ... 1.77 states/eV/f.u.
Total energy ... -23.5 eV/cell

Cell: 5.250 5.250 5.250 Å, 90.00 90.00 90.00°
Space group Pm-3m (No. 221)
One atom of each set of equivalent atoms:
Zr 0.000 0.000 0.000 [1 per cell]
Tl 0.500 0.500 0.500 [1 per cell]
Ge 0.000 0.000 0.500 [3 per cell]

***

[9]
Compound: CuSn2IN
Source: Alexandria via LeMat-Bulk
Functional: GGA-PBE
Structure: relaxed

Summary:
Total moment ... 0.00 μB per formula unit
E_form (uncorrected) ... 843 meV/atom
DOS(E_F) ... 2.42 states/eV/f.u.
Total energy ... -17.8 eV/cell

Cell: 4.974 4.974 4.618 Å, 90.00 90.00 90.00°
Space group P4/mmm (No. 123)
One atom of each set of equivalent atoms:
Cu 0.000 0.000 0.000 [1 per cell]
Sn 0.000 0.500 0.500 [2 per cell]
I 0.500 0.500 0.000 [1 per cell]
N 0.500 0.500 0.500 [1 per cell]

***

[10]
Compound: AcHo9In2
Source: Alexandria via LeMat-Bulk
Functional: GGA-PBE
Structure: relaxed

Summary:
Total moment ... 0.00 μB per formula unit
DFT formation energy ... -0.13 eV/atom
DOS(E_F) ... 15.46 states/eV/f.u.
Total energy ... -52.3 eV/cell

Cell: 4.889 4.889 15.075 Å, 90.00 90.00 90.00°
Space group P4/mmm (No. 123)
One atom of each set of equivalent atoms:
Ac 0.000 0.000 0.000 [1 per cell]
Ho 0.000 0.500 0.180 [4 per cell]
Ho 0.000 0.500 0.500 [2 per cell]
Ho 0.500 0.500 0.000 [1 per cell]
Ho 0.500 0.500 0.342 [2 per cell]
In 0.000 0.000 0.341 [2 per cell]

***

[11]
Compound: BaEu2Si
Source: Alexandria via LeMat-Bulk
Functional: GGA-PBE
Structure: relaxed

Summary:
Total moment ... 14.26 μB per formula unit
Offset from the most stable computed form ... 0.163 eV/atom
E_form (uncorrected) ... -2 meV/atom
DOS(E_F) ... 16.35 states/eV/f.u.
Total energy ... -83.7 eV/cell

Cell: 4.0320 4.0320 34.6251 Å, 90.00 90.00 120.00°
Space group R-3m (No. 166, hexagonal axes)
One atom of each set of equivalent atoms:
Ba 0.0000 0.0000 0.0000 [3 per cell]
Eu 0.0000 0.0000 0.1116 [6 per cell]
Si 0.0000 0.0000 0.5000 [3 per cell]

***

[12]
Compound: GaGe2As2
Source: Alexandria via LeMat-Bulk
Functional: GGA-PBE
Structure: relaxed

Summary:
Total moment ... 0.00 μB per formula unit
Offset from the most stable computed form ... 0.020 eV/atom
DFT formation energy ... 0.25 eV/atom
DOS(E_F) ... 1.80 states/eV/f.u.
Total energy ... -40.6 eV/cell

Cell: 7.602 7.602 3.486 Å, 90.00 90.00 90.00°
Space group P4/mbm (No. 127)
One atom of each set of equivalent atoms:
Ga 0.000 0.000 0.000 [2 per cell]
Ge 0.142 0.358 0.000 [4 per cell]
As 0.151 0.651 0.500 [4 per cell]